Entry 1:
Material: NaCa2O
Method: DFT, PBEsol
State: relaxed

Results
Total DFT energy (no corrections)   -4.07 eV/atom
Fermi-level density of states   4.1 states/eV per cell
Space group   I-42d, No. 122
Formation energy (no corrections)   -1.346 eV/atom

Cell: 7.075 7.075 7.075 Å, 119.88 119.88 90.21°
Sites, in units of the cell vectors:
1 Na 0.000 0.000 0.000
2 Na 0.750 0.250 0.500
3 Ca 0.317 0.125 0.692
4 Ca 0.375 0.683 0.808
5 Ca 0.433 0.625 0.308
6 Ca 0.875 0.567 0.192
7 O 0.250 0.750 0.500
8 O 0.500 0.500 0.000

Entry 2:
Material: La2HS
Method: DFT, PBEsol
State: relaxed

Results
Total DFT energy (no corrections)   -5.67 eV/atom
Fermi-level density of states   6.6 states/eV per cell
Distance to the lowest polymorph of the same formula   0.00 kJ/mol of atoms
Space group   I-42d, No. 122

Cell: 6.040 6.040 6.040 Å, 110.07 110.07 108.28°
Sites, in units of the cell vectors:
1 La 0.065 0.625 0.940
2 La 0.375 0.315 0.440
3 La 0.685 0.125 0.060
4 La 0.875 0.935 0.560
5 H 0.000 0.000 0.000
6 H 0.750 0.250 0.500
7 S 0.250 0.750 0.500
8 S 0.500 0.500 0.000

Entry 3:
Material: Ba2SnTe5
Method: DFT, PBEsol
State: relaxed

Results
Total DFT energy (no corrections)   -4.24 eV/atom
Fermi-level density of states   5.8 states/eV per cell
Space group   Pnma, No. 62
Formation energy (no corrections)   -0.963 eV/atom

Cell: 6.791 24.308 6.832 Å, 90.00 90.00 90.00°
Sites, in units of the cell vectors:
1 Ba 0.008 0.101 0.011
2 Ba 0.008 0.399 0.011
3 Ba 0.492 0.601 0.511
4 Ba 0.492 0.899 0.511
5 Ba 0.508 0.101 0.489
6 Ba 0.508 0.399 0.489
7 Ba 0.992 0.601 0.989
8 Ba 0.992 0.899 0.989
9 Sn 0.101 0.750 0.582
10 Sn 0.399 0.250 0.082
11 Sn 0.601 0.750 0.918
12 Sn 0.899 0.250 0.418
13 Te 0.011 0.143 0.517
14 Te 0.011 0.357 0.517
15 Te 0.015 0.750 0.988
16 Te 0.147 0.003 0.647
17 Te 0.147 0.497 0.647
18 Te 0.353 0.503 0.147
19 Te 0.353 0.997 0.147
20 Te 0.485 0.250 0.488
21 Te 0.489 0.643 0.017
22 Te 0.489 0.857 0.017
23 Te 0.511 0.143 0.983
24 Te 0.511 0.357 0.983
25 Te 0.515 0.750 0.512
26 Te 0.647 0.003 0.853
27 Te 0.647 0.497 0.853
28 Te 0.853 0.503 0.353
29 Te 0.853 0.997 0.353
30 Te 0.985 0.250 0.012
31 Te 0.989 0.643 0.483
32 Te 0.989 0.857 0.483

Entry 4:
Material: CdInHg2
Method: DFT, PBEsol
State: relaxed

Results
Total DFT energy (no corrections)   -1.30 eV/atom
E_form   2.6 kJ/mol of atoms
Fermi-level density of states   0.9 states/eV per cell
Space group   F-43m, No. 216

Cell: 5.099 5.099 5.099 Å, 60.00 60.00 60.00°
Sites, in units of the cell vectors:
1 Cd 0.000 0.000 0.000
2 In 0.750 0.750 0.750
3 Hg 0.250 0.250 0.250
4 Hg 0.500 0.500 0.500

Entry 5:
Material: ZrMnPt2
Method: DFT, PBEsol
State: relaxed

Results
Total DFT energy (no corrections)   -8.90 eV/atom
E_form   -68.3 kJ/mol of atoms
Fermi-level density of states   1.9 states/eV per cell
Space group   I-4m2, No. 119

Cell: 4.950 4.950 4.950 Å, 133.45 133.45 67.94°
Sites, in units of the cell vectors:
1 Zr 0.000 0.000 0.000
2 Mn 0.250 0.750 0.500
3 Pt 0.500 0.500 0.000
4 Pt 0.750 0.250 0.500

Entry 6:
Material: ZnRe2Se
Method: DFT, PBEsol
State: relaxed

Results
Total DFT energy (no corrections)   -7.42 eV/atom
Fermi-level density of states   2.1 states/eV per cell
Distance to the lowest polymorph of the same formula   17.37 kJ/mol of atoms
Space group   P2/m, No. 10
Formation energy (no corrections)   0.603 eV/atom

Cell: 3.571 4.393 4.571 Å, 90.00 100.17 90.00°
Sites, in units of the cell vectors:
1 Zn 0.000 0.000 0.000
2 Re 0.321 0.500 0.185
3 Re 0.679 0.500 0.815
4 Se 0.500 0.000 0.500

- Which value of Fermi-level density of states does entry 5 give?
  1.9 states/eV per cell

- What is the formula in the third record?
  Ba2SnTe5

- Among the records above, which one has the highest Fermi-level density of states?
  La2HS